Cr2H2Ru after structural relaxation, computed with PBE.

```
data_Cr2H2Ru
_space_group_name_H-M_alt 'P 1'
_space_group_IT_number 1
_space_group_name_Hall 'P 1'
_cell_length_a 2.701
_cell_length_b 3.988
_cell_length_c 7.780
_cell_angle_alpha 90.00
_cell_angle_beta 100.02
_cell_angle_gamma 90.00
loop_
_atom_site_label
_atom_site_type_symbol
_atom_site_fract_x
_atom_site_fract_y
_atom_site_fract_z
Cr1 Cr 0.037 0.473 0.075
Cr2 Cr 0.209 0.473 0.418
Cr3 Cr 0.791 0.973 0.582
Cr4 Cr 0.963 0.973 0.925
H1 H 0.624 0.473 0.248
H2 H 0.210 0.973 0.420
H3 H 0.790 0.473 0.580
H4 H 0.376 0.973 0.752
Ru1 Ru 0.611 0.973 0.221
Ru2 Ru 0.389 0.473 0.779
```

Calculated values
ρ, g/cm3: 8.33
Volume, Å³/cell: 82.5
Density of states at the Fermi level, states/eV/cell: 7.84
Energy above the lowest structure with this stoichiometry, kJ/mol of formula units: 0

=====

CrHRu3 after structural relaxation, computed with PBE.

```
data_CrHRu3
_space_group_name_H-M_alt 'P 1'
_space_group_IT_number 1
_space_group_name_Hall 'P 1'
_cell_length_a 3.840
_cell_length_b 3.840
_cell_length_c 3.840
_cell_angle_alpha 90.00
_cell_angle_beta 90.00
_cell_angle_gamma 90.00
loop_
_atom_site_label
_atom_site_type_symbol
_atom_site_fract_x
_atom_site_fract_y
_atom_site_fract_z
Ru1 Ru 0.000 0.500 0.000
Ru2 Ru 0.000 0.000 0.500
Ru3 Ru 0.500 0.000 0.000
H1 H 0.000 0.000 0.000
Cr1 Cr 0.500 0.500 0.500
```

Calculated values
ρ, g/cm3: 10.44
Volume, Å³/cell: 56.6
Density of states at the Fermi level, states/eV/cell: 5.40
Energy above the lowest structure with this stoichiometry, kJ/mol of formula units: 46

=====

CrHRu2 after structural relaxation, computed with PBE.

```
data_CrHRu2
_space_group_name_H-M_alt 'P 1'
_space_group_IT_number 1
_space_group_name_Hall 'P 1'
_cell_length_a 2.718
_cell_length_b 2.718
_cell_length_c 7.174
_cell_angle_alpha 79.08
_cell_angle_beta 79.08
_cell_angle_gamma 60.00
loop_
_atom_site_label
_atom_site_type_symbol
_atom_site_fract_x
_atom_site_fract_y
_atom_site_fract_z
Ru1 Ru 0.108 0.108 0.677
Ru2 Ru 0.892 0.892 0.323
H1 H 0.500 0.500 0.500
Cr1 Cr 0.000 0.000 0.000
```

Calculated values
ρ, g/cm3: 9.46
Volume, Å³/cell: 44.8
Density of states at the Fermi level, states/eV/cell: 3.66
Energy above the lowest structure with this stoichiometry, kJ/mol of formula units: 169

=====

CrH2Ru after structural relaxation, computed with PBE.

```
data_CrH2Ru
_space_group_name_H-M_alt 'P 1'
_space_group_IT_number 1
_space_group_name_Hall 'P 1'
_cell_length_a 2.743
_cell_length_b 2.743
_cell_length_c 4.989
_cell_angle_alpha 74.05
_cell_angle_beta 74.05
_cell_angle_gamma 60.00
loop_
_atom_site_label
_atom_site_type_symbol
_atom_site_fract_x
_atom_site_fract_y
_atom_site_fract_z
Cr1 Cr 0.496 0.496 0.512
H1 H 0.088 0.088 0.735
H2 H 0.243 0.243 0.272
Ru1 Ru 0.673 0.673 0.981
```

Calculated values
ρ, g/cm3: 8.36
Volume, Å³/cell: 30.8
Density of states at the Fermi level, states/eV/cell: 2.80
Energy above the lowest structure with this stoichiometry, kJ/mol of formula units: 84

=====

Question: Which of these has the highest volume?
Answer: Cr2H2Ru